1.
RbBaGa2Br8: relaxed, GGA-PBE.

Properties
* formation energy (no corrections): -1.213 eV per atom

```
data_RbBaGa2Br8
_cell_length_a 7.2707
_cell_length_b 7.2707
_cell_length_c 30.7762
_cell_angle_alpha 90.00
_cell_angle_beta 90.00
_cell_angle_gamma 120.00
_space_group_name_H-M_alt 'R -3'
_space_group_IT_number 148
_space_group_name_Hall '-R 3'
loop_
_atom_site_label
_atom_site_type_symbol
_atom_site_fract_x
_atom_site_fract_y
_atom_site_fract_z
_atom_site_occupancy
Rb1 Rb 0.0000 0.0000 0.0000 1
Ba1 Ba 0.0000 0.0000 0.5000 1
Ga1 Ga 0.0000 0.0000 0.2557 1
Br1 Br 0.0000 0.0000 0.3339 1
Br2 Br 0.0085 0.6364 0.5624 1
```

2.
SrTaAl2: relaxed, GGA-PBE.

Properties
* formation energy: 135 kJ/mol of formula units
* ΔE to the lowest computed polymorph: 352 meV per atom

```
data_SrTaAl2
_cell_length_a 3.0199
_cell_length_b 5.2982
_cell_length_c 10.6989
_cell_angle_alpha 90.00
_cell_angle_beta 90.00
_cell_angle_gamma 90.00
_space_group_name_H-M_alt 'I m m 2'
_space_group_IT_number 44
_space_group_name_Hall 'I 2 -2'
loop_
_atom_site_label
_atom_site_type_symbol
_atom_site_fract_x
_atom_site_fract_y
_atom_site_fract_z
_atom_site_occupancy
Sr1 Sr 0.0000 0.0000 0.0000 1
Ta1 Ta 0.0000 0.5000 0.7858 1
Al1 Al 0.0000 0.0000 0.5062 1
Al2 Al 0.0000 0.5000 0.2273 1
```

- Number 1 is which compound?
  RbBaGa2Br8

- Number 1 is which compound?
  RbBaGa2Br8

- Which formula does entry 1 have?
  RbBaGa2Br8